Sr3CaAg, PBEsol geometry, DFT SCAN; symmetry = Pm-3m; energy of formation = -0.078 eV/atom; V = 45.44 Å³ per atom; uncorrected energy = -21.6491 eV per atom
1.0
6.102 0.000 0.000
0.000 6.102 0.000
0.000 0.000 6.102
Sr Ca Ag
3 1 1
direct
0.000 0.000 0.500
0.000 0.500 0.000
0.500 0.000 0.000
0.500 0.500 0.500
0.000 0.000 0.000